A plane-wave DFT calculation with PBE was carried out for PaHgPdPb after structural relaxation.

The structure in extended XYZ format:
```
16
Lattice="7.177 0.000 0.000 0.000 7.177 0.000 0.000 0.000 7.177" Properties=species:S:1:pos:R:3 pbc="T T T"
Pa 0.000 0.000 0.000
Pa 0.000 3.589 3.589
Pa 3.589 0.000 3.589
Pa 3.589 3.589 0.000
Hg 1.794 1.794 1.794
Hg 1.794 5.383 5.383
Hg 5.383 1.794 5.383
Hg 5.383 5.383 1.794
Pd 1.794 1.794 5.383
Pd 1.794 5.383 1.794
Pd 5.383 1.794 1.794
Pd 5.383 5.383 5.383
Pb 0.000 0.000 3.589
Pb 0.000 3.589 0.000
Pb 3.589 0.000 0.000
Pb 3.589 3.589 3.589
```

Summary:
Total moment = 2.4 μB per cell
E_form = -120 meV/atom
SG = No. 216
E = -76.7 eV/cell

***

A plane-wave DFT calculation with PBE was carried out for PmPaHgPb after structural relaxation.

The structure in extended XYZ format:
```
16
Lattice="7.648 0.000 0.000 0.000 7.648 0.000 0.000 0.000 7.648" Properties=species:S:1:pos:R:3 pbc="T T T"
Pm 0.000 0.000 0.000
Pm 0.000 3.824 3.824
Pm 3.824 0.000 3.824
Pm 3.824 3.824 0.000
Pa 0.000 0.000 3.824
Pa 0.000 3.824 0.000
Pa 3.824 0.000 0.000
Pa 3.824 3.824 3.824
Hg 1.912 1.912 5.736
Hg 1.912 5.736 1.912
Hg 5.736 1.912 1.912
Hg 5.736 5.736 5.736
Pb 1.912 1.912 1.912
Pb 1.912 5.736 5.736
Pb 5.736 1.912 5.736
Pb 5.736 5.736 1.912
```

Summary:
Total moment = 6.5 μB per cell
E_form = -63 meV/atom
SG = No. 216
E = -74.0 eV/cell

***

A plane-wave DFT calculation with PBE was carried out for PrPaHgPb after structural relaxation.

The structure in extended XYZ format:
```
16
Lattice="7.699 0.000 0.000 0.000 7.699 0.000 0.000 0.000 7.699" Properties=species:S:1:pos:R:3 pbc="T T T"
Pr 0.000 0.000 0.000
Pr 0.000 3.850 3.850
Pr 3.850 0.000 3.850
Pr 3.850 3.850 0.000
Pa 0.000 0.000 3.850
Pa 0.000 3.850 0.000
Pa 3.850 0.000 0.000
Pa 3.850 3.850 3.850
Hg 1.925 1.925 1.925
Hg 1.925 5.775 5.775
Hg 5.775 1.925 5.775
Hg 5.775 5.775 1.925
Pb 1.925 1.925 5.775
Pb 1.925 5.775 1.925
Pb 5.775 1.925 1.925
Pb 5.775 5.775 5.775
```

Summary:
Total moment = 6.6 μB per cell
E_form = -56 meV/atom
SG = No. 216
E = -74.0 eV/cell

***

A plane-wave DFT calculation with PBE was carried out for PuPaHgPb after structural relaxation.

The structure in extended XYZ format:
```
16
Lattice="7.599 0.000 0.000 0.000 7.599 0.000 0.000 0.000 7.599" Properties=species:S:1:pos:R:3 pbc="T T T"
Pu 0.000 0.000 0.000
Pu 0.000 3.799 3.799
Pu 3.799 0.000 3.799
Pu 3.799 3.799 0.000
Pa 0.000 0.000 3.799
Pa 0.000 3.799 0.000
Pa 3.799 0.000 0.000
Pa 3.799 3.799 3.799
Hg 1.900 1.900 1.900
Hg 1.900 5.699 5.699
Hg 5.699 1.900 5.699
Hg 5.699 5.699 1.900
Pb 1.900 1.900 5.699
Pb 1.900 5.699 1.900
Pb 5.699 1.900 1.900
Pb 5.699 5.699 5.699
```

Summary:
Total moment = 33.0 μB per cell
E_form = 88 meV/atom
SG = No. 216
E = -109.9 eV/cell

***

A plane-wave DFT calculation with PBE was carried out for ScPaHgPb after structural relaxation.

The structure in extended XYZ format:
```
16
Lattice="7.410 0.000 0.000 0.000 7.410 0.000 0.000 0.000 7.410" Properties=species:S:1:pos:R:3 pbc="T T T"
Sc 0.000 0.000 0.000
Sc 0.000 3.705 3.705
Sc 3.705 0.000 3.705
Sc 3.705 3.705 0.000
Pa 0.000 0.000 3.705
Pa 0.000 3.705 0.000
Pa 3.705 0.000 0.000
Pa 3.705 3.705 3.705
Hg 1.853 1.853 1.853
Hg 1.853 5.558 5.558
Hg 5.558 1.853 5.558
Hg 5.558 5.558 1.853
Pb 1.853 1.853 5.558
Pb 1.853 5.558 1.853
Pb 5.558 1.853 1.853
Pb 5.558 5.558 5.558
```

Summary:
Total moment = 8.6 μB per cell
E_form = -23 meV/atom
SG = No. 216
E = -79.7 eV/cell

***

A plane-wave DFT calculation with PBE was carried out for SmPaHgPb after structural relaxation.

The structure in extended XYZ format:
```
16
Lattice="7.632 0.000 0.000 0.000 7.632 0.000 0.000 0.000 7.632" Properties=species:S:1:pos:R:3 pbc="T T T"
Sm 0.000 0.000 0.000
Sm 0.000 3.816 3.816
Sm 3.816 0.000 3.816
Sm 3.816 3.816 0.000
Pa 0.000 0.000 3.816
Pa 0.000 3.816 0.000
Pa 3.816 0.000 0.000
Pa 3.816 3.816 3.816
Hg 1.908 1.908 1.908
Hg 1.908 5.724 5.724
Hg 5.724 1.908 5.724
Hg 5.724 5.724 1.908
Pb 1.908 1.908 5.724
Pb 1.908 5.724 1.908
Pb 5.724 1.908 1.908
Pb 5.724 5.724 5.724
```

Summary:
Total moment = 6.5 μB per cell
E_form = -61 meV/atom
SG = No. 216
E = -73.9 eV/cell

***

A plane-wave DFT calculation with PBE was carried out for TmPaHgPb after structural relaxation.

The structure in extended XYZ format:
```
16
Lattice="7.527 0.000 0.000 0.000 7.527 0.000 0.000 0.000 7.527" Properties=species:S:1:pos:R:3 pbc="T T T"
Tm 0.000 0.000 0.000
Tm 0.000 3.764 3.764
Tm 3.764 0.000 3.764
Tm 3.764 3.764 0.000
Pa 0.000 0.000 3.764
Pa 0.000 3.764 0.000
Pa 3.764 0.000 0.000
Pa 3.764 3.764 3.764
Hg 1.882 1.882 1.882
Hg 1.882 5.645 5.645
Hg 5.645 1.882 5.645
Hg 5.645 5.645 1.882
Pb 1.882 1.882 5.645
Pb 1.882 5.645 1.882
Pb 5.645 1.882 1.882
Pb 5.645 5.645 5.645
```

Summary:
Total moment = 6.0 μB per cell
E_form = -36 meV/atom
SG = No. 216
E = -72.5 eV/cell

***

A plane-wave DFT calculation with PBE was carried out for YPaHgPb after structural relaxation.

The structure in extended XYZ format:
```
16
Lattice="7.576 0.000 0.000 0.000 7.576 0.000 0.000 0.000 7.576" Properties=species:S:1:pos:R:3 pbc="T T T"
Y 0.000 0.000 0.000
Y 0.000 3.788 3.788
Y 3.788 0.000 3.788
Y 3.788 3.788 0.000
Pa 0.000 0.000 3.788
Pa 0.000 3.788 0.000
Pa 3.788 0.000 0.000
Pa 3.788 3.788 3.788
Hg 1.894 1.894 1.894
Hg 1.894 5.682 5.682
Hg 5.682 1.894 5.682
Hg 5.682 5.682 1.894
Pb 1.894 1.894 5.682
Pb 1.894 5.682 1.894
Pb 5.682 1.894 1.894
Pb 5.682 5.682 5.682
```

Summary:
Total moment = 7.1 μB per cell
E_form = -68 meV/atom
SG = No. 216
E = -81.0 eV/cell

***

A plane-wave DFT calculation with PBE was carried out for PaHgPd6 after structural relaxation.

The structure in extended XYZ format:
```
8
Lattice="4.131 0.000 0.000 0.000 4.131 0.000 0.000 0.000 8.103" Properties=species:S:1:pos:R:3 pbc="T T T"
Pa 0.000 0.000 0.000
Hg 0.000 0.000 4.051
Pd 0.000 2.066 1.976
Pd 0.000 2.066 6.127
Pd 2.066 0.000 1.976
Pd 2.066 0.000 6.127
Pd 2.066 2.066 0.000
Pd 2.066 2.066 4.051
```

Summary:
Total moment = 0.0 μB per cell
E_form = -578 meV/atom
SG = No. 123
E = -45.6 eV/cell

***

A plane-wave DFT calculation with PBE was carried out for PaHgPd3 after structural relaxation.

The structure in extended XYZ format:
```
20
Lattice="5.809 0.000 0.000 0.000 7.731 0.000 -5.671 0.000 8.605" Properties=species:S:1:pos:R:3 pbc="T T T"
Pa -0.564 0.902 1.648
Pa -3.400 2.964 5.951
Pa 3.537 4.767 2.655
Pa 0.702 6.830 6.957
Hg 2.342 1.421 0.254
Hg -0.493 2.445 4.557
Hg 0.631 5.287 4.049
Hg -2.204 6.310 8.351
Pd -2.776 5.637 5.445
Pd 0.060 5.960 1.142
Pd -4.084 4.226 8.192
Pd -1.248 7.371 3.890
Pd -2.136 0.573 6.330
Pd 0.699 3.293 2.027
Pd -0.561 4.439 6.578
Pd 2.274 7.159 2.276
Pd 1.386 0.361 4.716
Pd 4.222 3.505 0.413
Pd 0.078 1.771 7.463
Pd 2.914 2.094 3.161
```

Summary:
Total moment = 0.0 μB per cell
E_form = -413 meV/atom
SG = No. 14
E = -109.8 eV/cell

***

A plane-wave DFT calculation with PBE was carried out for PaHg2Pd8 after structural relaxation.

The structure in extended XYZ format:
```
11
Lattice="7.009 -2.752 0.000 7.009 2.752 0.000 -1.279 0.000 5.152" Properties=species:S:1:pos:R:3 pbc="T T T"
Pa 0.000 0.000 0.000
Hg 2.413 0.000 2.202
Hg 10.326 0.000 2.950
Pd 5.411 1.349 1.552
Pd 2.314 0.000 4.976
Pd 7.327 1.349 3.600
Pd 4.855 0.000 4.053
Pd 7.884 0.000 1.099
Pd 5.411 -1.349 1.552
Pd 10.424 0.000 0.176
Pd 7.327 -1.349 3.600
```

Summary:
Total moment = 0.0 μB per cell
E_form = -279 meV/atom
SG = No. 12
E = -54.7 eV/cell

***

A plane-wave DFT calculation with PBE was carried out for PaHgPd2 after structural relaxation.

The structure in extended XYZ format:
```
4
Lattice="3.264 0.000 0.000 0.000 3.264 0.000 0.000 0.000 7.414" Properties=species:S:1:pos:R:3 pbc="T T T"
Pa 0.000 0.000 0.000
Hg 0.000 0.000 3.707
Pd 1.632 1.632 1.894
Pd 1.632 1.632 5.519
```

Summary:
Total moment = 0.0 μB per cell
E_form = -381 meV/atom
SG = No. 123
E = -21.7 eV/cell

***

A plane-wave DFT calculation with PBE was carried out for Pa2HgPd2 after structural relaxation.

The structure in extended XYZ format:
```
10
Lattice="7.815 0.000 0.000 0.000 7.815 0.000 0.000 0.000 3.649" Properties=species:S:1:pos:R:3 pbc="T T T"
Pa 1.360 2.548 0.000
Pa 2.548 6.455 0.000
Pa 5.267 1.360 0.000
Pa 6.455 5.267 0.000
Hg 0.000 0.000 1.825
Hg 3.908 3.908 1.825
Pd 1.002 4.909 1.825
Pd 2.906 1.002 1.825
Pd 4.909 6.813 1.825
Pd 6.813 2.906 1.825
```

Summary:
Total moment = 0.0 μB per cell
E_form = -410 meV/atom
SG = No. 127
E = -63.5 eV/cell

***

A plane-wave DFT calculation with PBE was carried out for PaHgPd2 after structural relaxation.

The structure in extended XYZ format:
```
16
Lattice="6.847 0.000 0.000 0.000 6.847 0.000 0.000 0.000 6.847" Properties=species:S:1:pos:R:3 pbc="T T T"
Pa 0.000 0.000 0.000
Pa 0.000 3.424 3.424
Pa 3.424 0.000 3.424
Pa 3.424 3.424 0.000
Hg 0.000 0.000 3.424
Hg 0.000 3.424 0.000
Hg 3.424 0.000 0.000
Hg 3.424 3.424 3.424
Pd 1.712 1.712 1.712
Pd 1.712 1.712 5.136
Pd 1.712 5.136 1.712
Pd 1.712 5.136 5.136
Pd 5.136 1.712 1.712
Pd 5.136 1.712 5.136
Pd 5.136 5.136 1.712
Pd 5.136 5.136 5.136
```

Summary:
Total moment = 0.0 μB per cell
E_form = -429 meV/atom
SG = No. 225
E = -87.6 eV/cell

***

A plane-wave DFT calculation with PBE was carried out for PaHg2Pd8 after structural relaxation.

The structure in extended XYZ format:
```
11
Lattice="7.151 -2.224 0.000 7.151 2.224 0.000 -3.111 0.000 6.169" Properties=species:S:1:pos:R:3 pbc="T T T"
Pa 0.000 0.000 0.000
Hg 3.327 0.000 1.998
Hg 7.864 0.000 4.172
Pd 0.545 0.000 2.600
Pd -0.505 0.000 5.453
Pd 2.372 0.000 5.145
Pd 6.119 0.000 1.722
Pd 5.072 0.000 4.447
Pd 8.818 0.000 1.025
Pd 11.696 0.000 0.716
Pd 10.646 0.000 3.569
```

Summary:
Total moment = 0.0 μB per cell
E_form = -373 meV/atom
SG = No. 12
E = -55.7 eV/cell

***

A plane-wave DFT calculation with PBE was carried out for PaHgPd14 after structural relaxation.

The structure in extended XYZ format:
```
16
Lattice="5.800 0.000 0.000 0.000 5.800 0.000 0.000 0.000 7.763" Properties=species:S:1:pos:R:3 pbc="T T T"
Pa 0.000 0.000 0.000
Hg 2.900 2.900 0.000
Pd 0.000 0.000 3.882
Pd 0.000 2.900 0.000
Pd 0.000 2.900 3.882
Pd 1.432 1.432 1.963
Pd 1.432 1.432 5.800
Pd 1.432 4.369 1.963
Pd 1.432 4.369 5.800
Pd 2.900 0.000 0.000
Pd 2.900 0.000 3.882
Pd 2.900 2.900 3.882
Pd 4.369 1.432 1.963
Pd 4.369 1.432 5.800
Pd 4.369 4.369 1.963
Pd 4.369 4.369 5.800
```

Summary:
Total moment = 0.0 μB per cell
E_form = -289 meV/atom
SG = No. 123
E = -87.1 eV/cell

***

A plane-wave DFT calculation with PBE was carried out for PaHgPd2 after structural relaxation.

The structure in extended XYZ format:
```
8
Lattice="5.093 0.000 0.000 0.000 5.091 0.000 -2.528 0.000 7.173" Properties=species:S:1:pos:R:3 pbc="T T T"
Pa 0.000 0.000 0.000
Pa 2.546 2.545 0.000
Hg -1.264 3.824 3.587
Hg 1.283 1.278 3.587
Pd 0.001 2.545 1.425
Pd 0.017 5.091 5.749
Pd 2.548 5.091 1.425
Pd 2.564 2.545 5.749
```

Summary:
Total moment = 0.2 μB per cell
E_form = -261 meV/atom
SG = No. 5
E = -42.5 eV/cell

***

A plane-wave DFT calculation with PBE was carried out for PaHgPd2 after structural relaxation.

The structure in extended XYZ format:
```
12
Lattice="3.110 0.000 0.000 -1.555 2.694 0.000 0.000 0.000 28.381" Properties=species:S:1:pos:R:3 pbc="T T T"
Pa 0.000 0.000 0.000
Pa 0.000 1.796 18.921
Pa 1.555 0.898 9.460
Hg 0.000 0.000 14.190
Hg 0.000 1.796 4.730
Hg 1.555 0.898 23.651
Pd 0.000 0.000 7.054
Pd 0.000 0.000 21.327
Pd 0.000 1.796 11.867
Pd 0.000 1.796 25.975
Pd 1.555 0.898 2.406
Pd 1.555 0.898 16.514
```

Summary:
Total moment = 0.0 μB per cell
E_form = -180 meV/atom
SG = No. 166
E = -62.7 eV/cell

***

A plane-wave DFT calculation with PBE was carried out for PaHg3Pd12 after structural relaxation.

The structure in extended XYZ format:
```
16
Lattice="4.101 0.000 0.000 0.000 4.101 0.000 0.000 0.000 16.159" Properties=species:S:1:pos:R:3 pbc="T T T"
Pa 0.000 0.000 0.000
Hg 0.000 0.000 4.108
Hg 0.000 0.000 8.079
Hg 0.000 0.000 12.051
Pd 0.000 2.051 1.991
Pd 0.000 2.051 6.090
Pd 0.000 2.051 10.069
Pd 0.000 2.051 14.167
Pd 2.051 0.000 1.991
Pd 2.051 0.000 6.090
Pd 2.051 0.000 10.069
Pd 2.051 0.000 14.167
Pd 2.051 2.051 0.000
Pd 2.051 2.051 4.043
Pd 2.051 2.051 8.079
Pd 2.051 2.051 12.116
```

Summary:
Total moment = 0.0 μB per cell
E_form = -328 meV/atom
SG = No. 123
E = -78.0 eV/cell

***

A plane-wave DFT calculation with PBE was carried out for PmPaHgPd after structural relaxation.

The structure in extended XYZ format:
```
16
Lattice="7.321 0.000 0.000 0.000 7.321 0.000 0.000 0.000 7.321" Properties=species:S:1:pos:R:3 pbc="T T T"
Pm 0.000 0.000 0.000
Pm 0.000 3.661 3.661
Pm 3.661 0.000 3.661
Pm 3.661 3.661 0.000
Pa 0.000 0.000 3.661
Pa 0.000 3.661 0.000
Pa 3.661 0.000 0.000
Pa 3.661 3.661 3.661
Hg 1.830 1.830 5.491
Hg 1.830 5.491 1.830
Hg 5.491 1.830 1.830
Hg 5.491 5.491 5.491
Pd 1.830 1.830 1.830
Pd 1.830 5.491 5.491
Pd 5.491 1.830 5.491
Pd 5.491 5.491 1.830
```

Summary:
Total moment = 4.4 μB per cell
E_form = -201 meV/atom
SG = No. 216
E = -82.2 eV/cell